Entry 1:
# Y8GeP3Se4 (GGA-PBE, relaxed)
# total DFT energy (no corrections) = -7.112 eV per atom
data_Y8GeP3Se4
_chemical_formula_sum 'Y24 Ge3 P9 Se12'
_cell_length_a 8.1196
_cell_length_b 8.1196
_cell_length_c 20.1636
_cell_angle_alpha 90.00
_cell_angle_beta 90.00
_cell_angle_gamma 120.00
_symmetry_space_group_name_H-M 'R -3 m'
_symmetry_Int_Tables_number 166
_symmetry_space_group_name_Hall '-R 3 2"'
loop_
_atom_site_label
_atom_site_fract_x
_atom_site_fract_y
_atom_site_fract_z
Y1 0.0000 0.0000 0.2427
Y2 0.0022 0.5011 0.7561
Ge1 0.0000 0.0000 0.5000
P1 0.0000 0.5000 0.5000
Se1 0.0000 0.0000 0.0000
Se2 0.0000 0.5000 0.0000

Entry 2:
# Y8Ge3PSe4 (GGA-PBE, relaxed)
# total DFT energy (no corrections) = -6.823 eV per atom
data_Y8Ge3PSe4
_chemical_formula_sum 'Y24 Ge9 P3 Se12'
_cell_length_a 8.2265
_cell_length_b 8.2265
_cell_length_c 20.3039
_cell_angle_alpha 90.00
_cell_angle_beta 90.00
_cell_angle_gamma 120.00
_symmetry_space_group_name_H-M 'R -3 m'
_symmetry_Int_Tables_number 166
_symmetry_space_group_name_Hall '-R 3 2"'
loop_
_atom_site_label
_atom_site_fract_x
_atom_site_fract_y
_atom_site_fract_z
Y1 0.0000 0.0000 0.2460
Y2 0.0014 0.5007 0.2446
Ge1 0.0000 0.5000 0.5000
P1 0.0000 0.0000 0.5000
Se1 0.0000 0.0000 0.0000
Se2 0.0000 0.5000 0.0000

Entry 3:
# Y8Ge3PSe3 (GGA-PBE, relaxed)
# total DFT energy (no corrections) = -6.753 eV per atom
data_Y8Ge3PSe3
_chemical_formula_sum 'Y24 Ge9 P3 Se9'
_cell_length_a 8.2216
_cell_length_b 8.2216
_cell_length_c 20.0682
_cell_angle_alpha 90.00
_cell_angle_beta 90.00
_cell_angle_gamma 120.00
_symmetry_space_group_name_H-M 'R -3 m'
_symmetry_Int_Tables_number 166
_symmetry_space_group_name_Hall '-R 3 2"'
loop_
_atom_site_label
_atom_site_fract_x
_atom_site_fract_y
_atom_site_fract_z
Y1 0.0000 0.0000 0.2463
Y2 0.0020 0.5010 0.2453
Ge1 0.0000 0.5000 0.5000
P1 0.0000 0.0000 0.5000
Se1 0.0000 0.5000 0.0000

Entry 4:
# ZnGePSe2 (GGA-PBE, relaxed)
# total DFT energy (no corrections) = -3.005 eV per atom
data_ZnGePSe2
_chemical_formula_sum 'Zn1 Ge1 P1 Se2'
_cell_length_a 5.0293
_cell_length_b 5.0293
_cell_length_c 4.7477
_cell_angle_alpha 90.00
_cell_angle_beta 90.00
_cell_angle_gamma 90.00
_symmetry_space_group_name_H-M 'P 4/m m m'
_symmetry_Int_Tables_number 123
_symmetry_space_group_name_Hall '-P 4 2'
loop_
_atom_site_label
_atom_site_fract_x
_atom_site_fract_y
_atom_site_fract_z
Zn1 0.0000 0.0000 0.0000
Ge1 0.5000 0.5000 0.5000
P1 0.5000 0.5000 0.0000
Se1 0.0000 0.5000 0.5000

- Among the records above, which one has the lowest total DFT energy (no corrections)?
  Y8GeP3Se4

- Which of these has the lowest total DFT energy (no corrections)?
  Y8GeP3Se4

- Look up the total DFT energy (no corrections) of the second one.
  -6.823 eV per atom

- What is the total DFT energy (no corrections) in the second record?
  -6.823 eV per atom